No. 1
Computed, not measured: a relaxed structure of LaPr8Nd2 at the PBE level of DFT.

Excess energy over the best structure of this formula in the dataset (eV per atom): 0.124
ΔE_f (eV per atom): 0.13

Cell: 10.533 10.533 5.813 Å, 93.40 93.40 40.00°
Fractional positions:
1 La 0.000 0.000 0.000
2 Pr 0.136 0.602 0.268
3 Pr 0.187 0.187 0.231
4 Pr 0.398 0.864 0.732
5 Pr 0.455 0.455 0.761
6 Pr 0.545 0.545 0.239
7 Pr 0.602 0.136 0.268
8 Pr 0.813 0.813 0.769
9 Pr 0.864 0.398 0.732
10 Nd 0.284 0.284 0.743
11 Nd 0.716 0.716 0.257



No. 2
Computed, not measured: a relaxed structure of Ca2RhCl at the PBE level of DFT.

Formation energy without anion corrections (eV/atom): -0.777
Excess energy over the best structure of this formula in the dataset (eV per atom): 0.286

Cell: 6.593 6.593 6.593 Å, 113.78 113.78 101.15°
Fractional positions:
1 Ca 0.112 0.625 0.987
2 Ca 0.375 0.362 0.487
3 Ca 0.638 0.125 0.013
4 Ca 0.875 0.888 0.513
5 Rh 0.000 0.000 0.000
6 Rh 0.750 0.250 0.500
7 Cl 0.250 0.750 0.500
8 Cl 0.500 0.500 0.000



No. 3
Computed, not measured: a relaxed structure of PmPrYEr2 at the PBE level of DFT.

ΔE_f (eV per atom): 0.37

Cell: 7.157 7.157 7.199 Å, 90.00 90.00 108.11°
Fractional positions:
1 Pm 0.008 0.992 0.750
2 Pm 0.992 0.008 0.250
3 Pr 0.276 0.724 0.750
4 Pr 0.724 0.276 0.250
5 Y 0.274 0.726 0.250
6 Y 0.726 0.274 0.750
7 Er 0.313 0.313 0.000
8 Er 0.313 0.313 0.500
9 Er 0.687 0.687 0.000
10 Er 0.687 0.687 0.500



No. 4
Computed, not measured: a relaxed structure of Lu2HgAu at the PBE level of DFT.

Excess energy over the best structure of this formula in the dataset (eV per atom): 0.011
ΔE_f (eV per atom): -0.68

Cell: 5.073 5.073 5.073 Å, 60.00 60.00 60.00°
Fractional positions:
1 Lu 0.250 0.250 0.250
2 Lu 0.750 0.750 0.750
3 Hg 0.000 0.000 0.000
4 Au 0.500 0.500 0.500



No. 5
Computed, not measured: a relaxed structure of Sm5Dy2Tl4 at the PBE level of DFT.

ΔE_f (eV per atom): 0.05

Cell: 10.063 10.063 12.223 Å, 126.15 126.15 20.75°
Fractional positions:
1 Sm 0.000 0.000 0.000
2 Sm 0.127 0.127 0.578
3 Sm 0.183 0.183 0.342
4 Sm 0.817 0.817 0.658
5 Sm 0.873 0.873 0.422
6 Dy 0.037 0.037 0.776
7 Dy 0.963 0.963 0.224
8 Tl 0.308 0.308 0.153
9 Tl 0.344 0.344 0.918
10 Tl 0.656 0.656 0.082
11 Tl 0.692 0.692 0.847



No. 6
Computed, not measured: a relaxed structure of PaZnSn2 at the PBE level of DFT.

Excess energy over the best structure of this formula in the dataset (eV per atom): 0.213
ΔE_f (eV per atom): -0.04

Cell: 3.716 3.716 6.787 Å, 90.00 90.00 90.00°
Fractional positions:
1 Pa 0.000 0.000 0.000
2 Zn 0.000 0.000 0.500
3 Sn 0.500 0.500 0.283
4 Sn 0.500 0.500 0.717



No. 7
Computed, not measured: a relaxed structure of Ca2InGaSe5 at the PBE level of DFT.

Formation energy without anion corrections (eV/atom): -1.164

Cell: 9.572 9.572 12.299 Å, 90.00 90.00 156.07°
Fractional positions:
1 Ca 0.108 0.892 0.500
2 Ca 0.118 0.882 0.136
3 Ca 0.882 0.118 0.636
4 Ca 0.892 0.108 0.000
5 In 0.224 0.776 0.861
6 In 0.776 0.224 0.361
7 Ga 0.438 0.562 0.278
8 Ga 0.562 0.438 0.778
9 Se 0.044 0.956 0.893
10 Se 0.279 0.721 0.516
11 Se 0.314 0.686 0.212
12 Se 0.363 0.637 0.825
13 Se 0.497 0.503 0.106
14 Se 0.503 0.497 0.606
15 Se 0.637 0.363 0.325
16 Se 0.686 0.314 0.712
17 Se 0.721 0.279 0.016
18 Se 0.956 0.044 0.393



No. 8
Computed, not measured: a relaxed structure of AcPrSnPb at the PBE level of DFT.

Excess energy over the best structure of this formula in the dataset (eV per atom): 0.000
ΔE_f (eV per atom): -0.63

Cell: 4.576 6.597 6.597 Å, 43.37 90.00 90.00°
Fractional positions:
1 Ac 0.000 0.000 0.000
2 Pr 0.500 0.730 0.730
3 Sn 0.500 0.451 0.451
4 Pb 0.000 0.273 0.273



No. 9
Computed, not measured: a relaxed structure of Fe2PbI7 at the PBE level of DFT.

Formation energy without anion corrections (eV/atom): -0.064

Cell: 9.860 9.860 5.502 Å, 90.00 90.00 103.73°
Fractional positions:
1 Fe 0.219 0.219 0.000
2 Fe 0.781 0.781 0.000
3 Pb 0.500 0.500 0.500
4 I 0.000 0.000 0.000
5 I 0.215 0.482 0.000
6 I 0.222 0.222 0.500
7 I 0.482 0.215 0.000
8 I 0.518 0.785 0.000
9 I 0.778 0.778 0.500
10 I 0.785 0.518 0.000



No. 10
Computed, not measured: a relaxed structure of AlTlFe4 at the PBE level of DFT.

ΔE_f (eV per atom): 0.22

Cell: 4.936 4.936 4.936 Å, 60.00 60.00 60.00°
Fractional positions:
1 Al 0.000 0.000 0.000
2 Tl 0.750 0.750 0.750
3 Fe 0.374 0.374 0.374
4 Fe 0.374 0.374 0.878
5 Fe 0.374 0.878 0.374
6 Fe 0.878 0.374 0.374



No. 11
Computed, not measured: a relaxed structure of Li2CrCd at the PBE level of DFT.

ΔE_f (eV per atom): 0.23

Cell: 2.981 4.246 5.792 Å, 90.00 96.54 90.00°
Fractional positions:
1 Li 0.000 0.000 0.000
2 Li 0.448 0.500 0.253
3 Cr 0.502 0.500 0.748
4 Cd 0.962 0.000 0.505



No. 12
Computed, not measured: a relaxed structure of Cs3NbS4 at the PBE level of DFT.

Formation energy without anion corrections (eV/atom): -1.207

Cell: 7.671 7.671 7.671 Å, 121.42 92.57 115.71°
Fractional positions:
1 Cs 0.000 0.000 0.000
2 Cs 0.211 0.447 0.763
3 Cs 0.684 0.447 0.237
4 Nb 0.508 0.008 0.500
5 S 0.170 0.851 0.319
6 S 0.531 0.851 0.681
7 S 0.672 0.418 0.746
8 S 0.672 0.926 0.254



The records above give, respectively, E values of -0.3422; -0.2997; -0.3420; -0.2817; -0.2789; -0.3476; -0.3076; -0.3511; -0.2361; -0.4734; -0.2472; -0.3564 Ry per atom.